Material: BaZrSc2
Method: DFT, PBE
State: optimized geometry

Properties
electronic total energy = -5.4426 eV per atom
formation energy from the elements = 0.341 eV/atom
energy above the most stable polymorph in this dataset = 111 meV/atom
density = 4.43 g/cm3

Cell and atoms, written as CIF:
```
data_BaZrSc2
_chemical_formula_sum 'Ba2 Zr2 Sc4'
_space_group_name_H-M_alt 'A m m 2'
_space_group_IT_number 38
_cell_length_a 5.2740
_cell_length_b 3.3253
_cell_length_c 13.6142
_cell_angle_alpha 90.00
_cell_angle_beta 90.00
_cell_angle_gamma 90.00
loop_
_space_group_symop_operation_xyz
'x,y,z'
'-x,-y,z'
'-x,y,z'
'x,-y,z'
'x,y+1/2,z+1/2'
'-x,-y+1/2,z+1/2'
'-x,y+1/2,z+1/2'
'x,-y+1/2,z+1/2'
loop_
_atom_site_label
_atom_site_fract_x
_atom_site_fract_y
_atom_site_fract_z
Ba1 0.0000 0.0000 0.0000
Zr1 0.5000 0.0000 0.3316
Sc1 0.0000 0.0000 0.7518
Sc2 0.5000 0.0000 0.6384
```

***

Material: BaZrSc2
Method: DFT, PBE
State: optimized geometry

Properties
electronic total energy = -4.7454 eV per atom
formation energy from the elements = 1.038 eV/atom
energy above the most stable polymorph in this dataset = 808 meV/atom
density = 3.30 g/cm3

Cell and atoms, written as CIF:
```
data_BaZrSc2
_chemical_formula_sum 'Ba4 Zr4 Sc8'
_space_group_name_H-M_alt 'I 41/a m d'
_space_group_IT_number 141
_cell_length_a 5.5587
_cell_length_b 5.5587
_cell_length_c 20.7363
_cell_angle_alpha 90.00
_cell_angle_beta 90.00
_cell_angle_gamma 90.00
loop_
_space_group_symop_operation_xyz
'x,y,z'
'-x,-y,-z'
'-y+1/4,x+3/4,z+1/4'
'y+1/4,-x+3/4,-z+1/4'
'-x+1/2,-y,z+1/2'
'x+1/2,y,-z+1/2'
'y+1/4,-x+1/4,z+3/4'
'-y+1/4,x+1/4,-z+3/4'
'x,-y,-z'
'-x,y,z'
'-y+1/4,-x+1/4,-z+3/4'
'y+1/4,x+1/4,z+3/4'
'-x+1/2,y,-z+1/2'
'x+1/2,-y,z+1/2'
'y+1/4,x+3/4,-z+1/4'
'-y+1/4,-x+3/4,z+1/4'
'x+1/2,y+1/2,z+1/2'
'-x+1/2,-y+1/2,-z+1/2'
'-y+3/4,x+1/4,z+3/4'
'y+3/4,-x+1/4,-z+3/4'
'-x,-y+1/2,z'
'x,y+1/2,-z'
'y+3/4,-x+3/4,z+1/4'
'-y+3/4,x+3/4,-z+1/4'
'x+1/2,-y+1/2,-z+1/2'
'-x+1/2,y+1/2,z+1/2'
'-y+3/4,-x+3/4,-z+1/4'
'y+3/4,x+3/4,z+1/4'
'-x,y+1/2,-z'
'x,-y+1/2,z'
'y+3/4,x+1/4,-z+3/4'
'-y+3/4,-x+1/4,z+3/4'
loop_
_atom_site_label
_atom_site_fract_x
_atom_site_fract_y
_atom_site_fract_z
Ba1 0.0000 0.2500 0.3750
Zr1 0.0000 0.2500 0.8750
Sc1 0.0000 0.0000 0.0000
```

***

Material: BaZrSc2
Method: DFT, PBE
State: optimized geometry

Properties
electronic total energy = -5.3385 eV per atom
formation energy from the elements = 0.445 eV/atom
energy above the most stable polymorph in this dataset = 215 meV/atom
density = 4.58 g/cm3

Cell and atoms, written as CIF:
```
data_BaZrSc2
_chemical_formula_sum 'Ba2 Zr2 Sc4'
_space_group_name_H-M_alt 'I m m 2'
_space_group_IT_number 44
_cell_length_a 3.5354
_cell_length_b 5.6823
_cell_length_c 11.5025
_cell_angle_alpha 90.00
_cell_angle_beta 90.00
_cell_angle_gamma 90.00
loop_
_space_group_symop_operation_xyz
'x,y,z'
'-x,-y,z'
'-x,y,z'
'x,-y,z'
'x+1/2,y+1/2,z+1/2'
'-x+1/2,-y+1/2,z+1/2'
'-x+1/2,y+1/2,z+1/2'
'x+1/2,-y+1/2,z+1/2'
loop_
_atom_site_label
_atom_site_fract_x
_atom_site_fract_y
_atom_site_fract_z
Ba1 0.0000 0.0000 0.0000
Zr1 0.0000 0.5000 0.7698
Sc1 0.0000 0.0000 0.4924
Sc2 0.0000 0.5000 0.2274
```

***

Material: BaZrSc2
Method: DFT, PBE
State: optimized geometry

Properties
electronic total energy = -5.4647 eV per atom
formation energy from the elements = 0.319 eV/atom
energy above the most stable polymorph in this dataset = 89 meV/atom
density = 4.30 g/cm3

Cell and atoms, written as CIF:
```
data_BaZrSc2
_chemical_formula_sum 'Ba1 Zr1 Sc2'
_space_group_name_H-M_alt 'P m m 2'
_space_group_IT_number 25
_cell_length_a 3.5102
_cell_length_b 4.2687
_cell_length_c 8.2129
_cell_angle_alpha 90.00
_cell_angle_beta 90.00
_cell_angle_gamma 90.00
loop_
_space_group_symop_operation_xyz
'x,y,z'
'-x,-y,z'
'-x,y,z'
'x,-y,z'
loop_
_atom_site_label
_atom_site_fract_x
_atom_site_fract_y
_atom_site_fract_z
Ba1 0.0000 0.0000 0.0000
Zr1 0.5000 0.5000 0.6966
Sc1 0.0000 0.0000 0.5264
Sc2 0.5000 0.5000 0.3311
```